Density functional theory data (PBE) for an optimized crystal structure of Nd7SmZn4.

## Properties
Electronic total energy: -43.38 eV per formula unit
Formation enthalpy at 0 K: -0.0162 eV/atom

Structure (CIF):
```
data_Nd7SmZn4
_chemical_formula_sum 'Nd14 Sm2 Zn8'
_cell_length_a 14.186
_cell_length_b 5.696
_cell_length_c 10.195
_cell_angle_alpha 90.00
_cell_angle_beta 123.37
_cell_angle_gamma 90.00
_space_group_name_H-M_alt 'C 1 2/m 1'
_space_group_IT_number 12
_space_group_name_Hall '-C 2y'
loop_
_atom_site_label
_atom_site_type_symbol
_atom_site_fract_x
_atom_site_fract_y
_atom_site_fract_z
Nd1 Nd 0.000 0.000 0.000
Nd2 Nd 0.068 0.500 0.398
Nd3 Nd 0.206 0.500 0.878
Nd4 Nd 0.217 0.000 0.662
Sm1 Sm 0.000 0.500 0.000
Zn1 Zn 0.044 0.000 0.745
Zn2 Zn 0.178 0.000 0.337
```


Density functional theory data (PBE) for an optimized crystal structure of Li9Ca3Hg2.

## Properties
Electronic total energy: -25.79 eV per formula unit
Formation enthalpy at 0 K: -0.1395 eV/atom

Structure (CIF):
```
data_Li9Ca3Hg2
_chemical_formula_sum 'Li18 Ca6 Hg4'
_cell_length_a 4.796
_cell_length_b 10.181
_cell_length_c 13.559
_cell_angle_alpha 90.00
_cell_angle_beta 90.00
_cell_angle_gamma 90.00
_space_group_name_H-M_alt 'I m m m'
_space_group_IT_number 71
_space_group_name_Hall '-I 2 2'
loop_
_atom_site_label
_atom_site_type_symbol
_atom_site_fract_x
_atom_site_fract_y
_atom_site_fract_z
Li1 Li 0.000 0.000 0.000
Li2 Li 0.000 0.144 0.320
Li3 Li 0.000 0.225 0.117
Ca1 Ca 0.000 0.500 0.000
Ca2 Ca 0.000 0.500 0.325
Hg1 Hg 0.000 0.274 0.500
```


Density functional theory data (PBE) for an optimized crystal structure of Y2In2P.

## Properties
E above lowest polymorph: 0.2355 eV/atom
Electronic total energy: -25.52 eV per formula unit
Formation enthalpy at 0 K: -0.3416 eV/atom

Structure (CIF):
```
data_Y2In2P
_chemical_formula_sum 'Y4 In4 P2'
_cell_length_a 7.457
_cell_length_b 7.457
_cell_length_c 4.596
_cell_angle_alpha 90.00
_cell_angle_beta 90.00
_cell_angle_gamma 90.00
_space_group_name_H-M_alt 'P 4/m b m'
_space_group_IT_number 127
_space_group_name_Hall '-P 4 2ab'
loop_
_atom_site_label
_atom_site_type_symbol
_atom_site_fract_x
_atom_site_fract_y
_atom_site_fract_z
Y1 Y 0.166 0.334 0.000
In1 In 0.139 0.639 0.500
P1 P 0.000 0.000 0.500
```


Density functional theory data (PBE) for an optimized crystal structure of LiZr2Te6.

## Properties
Electronic total energy: -42.59 eV per formula unit
Formation energy (no corrections): -0.526 eV per atom

Structure (CIF):
```
data_LiZr2Te6
_chemical_formula_sum 'Li2 Zr4 Te12'
_cell_length_a 6.904
_cell_length_b 6.904
_cell_length_c 12.248
_cell_angle_alpha 90.00
_cell_angle_beta 90.00
_cell_angle_gamma 90.00
_space_group_name_H-M_alt 'P 42/m n m'
_space_group_IT_number 136
_space_group_name_Hall '-P 4n 2n'
loop_
_atom_site_label
_atom_site_type_symbol
_atom_site_fract_x
_atom_site_fract_y
_atom_site_fract_z
Li1 Li 0.000 0.000 0.000
Zr1 Zr 0.000 0.000 0.341
Te1 Te 0.206 0.206 0.174
Te2 Te 0.213 0.213 0.500
```


Density functional theory data (PBE) for an optimized crystal structure of HfTl2Hg2.

## Properties
Electronic total energy: -13.66 eV per formula unit
Formation enthalpy at 0 K: 0.3250 eV/atom

Structure (CIF):
```
data_HfTl2Hg2
_chemical_formula_sum 'Hf2 Tl4 Hg4'
_cell_length_a 7.595
_cell_length_b 7.595
_cell_length_c 4.532
_cell_angle_alpha 90.00
_cell_angle_beta 90.00
_cell_angle_gamma 90.00
_space_group_name_H-M_alt 'P 4/m b m'
_space_group_IT_number 127
_space_group_name_Hall '-P 4 2ab'
loop_
_atom_site_label
_atom_site_type_symbol
_atom_site_fract_x
_atom_site_fract_y
_atom_site_fract_z
Hf1 Hf 0.000 0.000 0.000
Tl1 Tl 0.176 0.324 0.500
Hg1 Hg 0.137 0.637 0.000
```


Density functional theory data (PBE) for an optimized crystal structure of TmCu2Ir.

## Properties
E above lowest polymorph: 0.0000 eV/atom
Electronic total energy: -22.91 eV per formula unit
Formation enthalpy at 0 K: -0.3466 eV/atom

Structure (CIF):
```
data_TmCu2Ir
_chemical_formula_sum 'Tm1 Cu2 Ir1'
_cell_length_a 3.949
_cell_length_b 3.949
_cell_length_c 4.026
_cell_angle_alpha 90.00
_cell_angle_beta 90.00
_cell_angle_gamma 90.00
_space_group_name_H-M_alt 'P 4/m m m'
_space_group_IT_number 123
_space_group_name_Hall '-P 4 2'
loop_
_atom_site_label
_atom_site_type_symbol
_atom_site_fract_x
_atom_site_fract_y
_atom_site_fract_z
Tm1 Tm 0.000 0.000 0.000
Cu1 Cu 0.000 0.500 0.500
Ir1 Ir 0.500 0.500 0.000
```


Density functional theory data (PBE) for an optimized crystal structure of YHo2GaC.

## Properties
Electronic total energy: -30.25 eV per formula unit
Formation enthalpy at 0 K: -0.4753 eV/atom

Structure (CIF):
```
data_YHo2GaC
_chemical_formula_sum 'Y1 Ho2 Ga1 C1'
_cell_length_a 4.835
_cell_length_b 4.835
_cell_length_c 4.865
_cell_angle_alpha 90.00
_cell_angle_beta 90.00
_cell_angle_gamma 90.00
_space_group_name_H-M_alt 'P 4/m m m'
_space_group_IT_number 123
_space_group_name_Hall '-P 4 2'
loop_
_atom_site_label
_atom_site_type_symbol
_atom_site_fract_x
_atom_site_fract_y
_atom_site_fract_z
Y1 Y 0.000 0.000 0.000
Ho1 Ho 0.000 0.500 0.500
Ga1 Ga 0.500 0.500 0.000
C1 C 0.000 0.000 0.500
```


Density functional theory data (PBE) for an optimized crystal structure of RbAc4Pd3O12.

## Properties
Electronic total energy: -129.17 eV per formula unit
Formation energy (no corrections): -1.835 eV per atom

Structure (CIF):
```
data_RbAc4Pd3O12
_chemical_formula_sum 'Rb2 Ac8 Pd6 O24'
_cell_length_a 8.848
_cell_length_b 8.848
_cell_length_c 8.848
_cell_angle_alpha 90.00
_cell_angle_beta 90.00
_cell_angle_gamma 90.00
_space_group_name_H-M_alt 'I m -3'
_space_group_IT_number 204
_space_group_name_Hall '-I 2 2 3'
loop_
_atom_site_label
_atom_site_type_symbol
_atom_site_fract_x
_atom_site_fract_y
_atom_site_fract_z
Rb1 Rb 0.000 0.000 0.000
Ac1 Ac 0.250 0.250 0.250
Pd1 Pd 0.000 0.000 0.500
O1 O 0.000 0.334 0.152
```


Density functional theory data (PBE) for an optimized crystal structure of CoNi2Os.

## Properties
E above lowest polymorph: 0.0368 eV/atom
Electronic total energy: -29.36 eV per formula unit
Formation enthalpy at 0 K: 0.1358 eV/atom

Structure (CIF):
```
data_CoNi2Os
_chemical_formula_sum 'Co3 Ni6 Os3'
_cell_length_a 2.6055
_cell_length_b 2.6055
_cell_length_c 24.6332
_cell_angle_alpha 90.00
_cell_angle_beta 90.00
_cell_angle_gamma 120.00
_space_group_name_H-M_alt 'R 3 m'
_space_group_IT_number 160
_space_group_name_Hall 'R 3 -2"'
loop_
_atom_site_label
_atom_site_type_symbol
_atom_site_fract_x
_atom_site_fract_y
_atom_site_fract_z
Co1 Co 0.0000 0.0000 0.0000
Ni1 Ni 0.0000 0.0000 0.2530
Ni2 Ni 0.0000 0.0000 0.5046
Os1 Os 0.0000 0.0000 0.7515
```


Density functional theory data (PBE) for an optimized crystal structure of Mg2CuSe2.

## Properties
E above lowest polymorph: 0.0341 eV/atom
Electronic total energy: -17.56 eV per formula unit
Formation energy (no corrections): -0.662 eV per atom

Structure (CIF):
```
data_Mg2CuSe2
_chemical_formula_sum 'Mg4 Cu2 Se4'
_cell_length_a 5.768
_cell_length_b 5.410
_cell_length_c 6.982
_cell_angle_alpha 90.00
_cell_angle_beta 114.32
_cell_angle_gamma 90.00
_space_group_name_H-M_alt 'P 1 21 1'
_space_group_IT_number 4
_space_group_name_Hall 'P 2yb'
loop_
_atom_site_label
_atom_site_type_symbol
_atom_site_fract_x
_atom_site_fract_y
_atom_site_fract_z
Mg1 Mg 0.072 0.000 0.216
Mg2 Mg 0.356 0.000 0.784
Cu1 Cu 0.495 0.742 0.501
Se1 Se 0.106 0.499 0.210
Se2 Se 0.396 0.499 0.790
```


Density functional theory data (PBE) for an optimized crystal structure of RuPtIO2.

## Properties
E above lowest polymorph: 0.0000 eV/atom
Electronic total energy: -27.39 eV per formula unit
Formation energy (no corrections): -0.121 eV per atom

Structure (CIF):
```
data_RuPtIO2
_chemical_formula_sum 'Ru1 Pt1 I1 O2'
_cell_length_a 3.778
_cell_length_b 3.778
_cell_length_c 6.308
_cell_angle_alpha 90.00
_cell_angle_beta 90.00
_cell_angle_gamma 90.00
_space_group_name_H-M_alt 'P 4/m m m'
_space_group_IT_number 123
_space_group_name_Hall '-P 4 2'
loop_
_atom_site_label
_atom_site_type_symbol
_atom_site_fract_x
_atom_site_fract_y
_atom_site_fract_z
Ru1 Ru 0.000 0.000 0.000
Pt1 Pt 0.500 0.500 0.500
I1 I 0.000 0.000 0.500
O1 O 0.000 0.500 0.000
```


Density functional theory data (PBE) for an optimized crystal structure of Li2BePt.

## Properties
Electronic total energy: -15.10 eV per formula unit
Formation enthalpy at 0 K: -0.3767 eV/atom

Structure (CIF):
```
data_Li2BePt
_chemical_formula_sum 'Li4 Be2 Pt2'
_cell_length_a 8.374
_cell_length_b 2.830
_cell_length_c 4.512
_cell_angle_alpha 90.00
_cell_angle_beta 109.40
_cell_angle_gamma 90.00
_space_group_name_H-M_alt 'C 1 m 1'
_space_group_IT_number 8
_space_group_name_Hall 'C -2y'
loop_
_atom_site_label
_atom_site_type_symbol
_atom_site_fract_x
_atom_site_fract_y
_atom_site_fract_z
Li1 Li 0.000 0.000 0.000
Li2 Li 0.237 0.000 0.834
Be1 Be 0.494 0.000 0.451
Pt1 Pt 0.268 0.500 0.370
```


Density functional theory data (PBE) for an optimized crystal structure of Sm3NiTeCl.

## Properties
Electronic total energy: -31.03 eV per formula unit
Formation energy (no corrections): -1.017 eV per atom

Structure (CIF):
```
data_Sm3NiTeCl
_chemical_formula_sum 'Sm6 Ni2 Te2 Cl2'
_cell_length_a 7.288
_cell_length_b 3.988
_cell_length_c 11.254
_cell_angle_alpha 90.00
_cell_angle_beta 100.36
_cell_angle_gamma 90.00
_space_group_name_H-M_alt 'P 1 21/m 1'
_space_group_IT_number 11
_space_group_name_Hall '-P 2yb'
loop_
_atom_site_label
_atom_site_type_symbol
_atom_site_fract_x
_atom_site_fract_y
_atom_site_fract_z
Sm1 Sm 0.214 0.250 0.006
Sm2 Sm 0.230 0.250 0.609
Sm3 Sm 0.266 0.750 0.318
Ni1 Ni 0.490 0.750 0.556
Te1 Te 0.059 0.750 0.801
Cl1 Cl 0.473 0.750 0.126
```


Density functional theory data (PBE) for an optimized crystal structure of CdInHg4Bi.

## Properties
Electronic total energy: -8.39 eV per formula unit
Formation enthalpy at 0 K: 0.0497 eV/atom

Structure (CIF):
```
data_CdInHg4Bi
_chemical_formula_sum 'Cd4 In4 Hg16 Bi4'
_cell_length_a 17.706
_cell_length_b 6.555
_cell_length_c 6.838
_cell_angle_alpha 90.00
_cell_angle_beta 104.49
_cell_angle_gamma 90.00
_space_group_name_H-M_alt 'C 1 2/m 1'
_space_group_IT_number 12
_space_group_name_Hall '-C 2y'
loop_
_atom_site_label
_atom_site_type_symbol
_atom_site_fract_x
_atom_site_fract_y
_atom_site_fract_z
Cd1 Cd 0.244 0.000 0.486
In1 In 0.176 0.500 0.060
Hg1 Hg 0.027 0.500 0.237
Hg2 Hg 0.126 0.259 0.641
Hg3 Hg 0.164 0.000 0.051
Bi1 Bi 0.018 0.000 0.245
```


Density functional theory data (PBE) for an optimized crystal structure of NdSi2Se6.

## Properties
Electronic total energy: -42.36 eV per formula unit
Formation energy (no corrections): -0.649 eV per atom

Structure (CIF):
```
data_NdSi2Se6
_chemical_formula_sum 'Nd4 Si8 Se24'
_cell_length_a 13.912
_cell_length_b 11.334
_cell_length_c 7.040
_cell_angle_alpha 90.00
_cell_angle_beta 110.79
_cell_angle_gamma 90.00
_space_group_name_H-M_alt 'C 1 2/c 1'
_space_group_IT_number 15
_space_group_name_Hall '-C 2yc'
loop_
_atom_site_label
_atom_site_type_symbol
_atom_site_fract_x
_atom_site_fract_y
_atom_site_fract_z
Nd1 Nd 0.000 0.154 0.250
Si1 Si 0.216 0.422 0.227
Se1 Se 0.109 0.073 0.676
Se2 Se 0.137 0.439 0.468
Se3 Se 0.160 0.240 0.112
```


Density functional theory data (PBE) for an optimized crystal structure of Be2TlZnF8.

## Properties
Electronic total energy: -56.88 eV per formula unit
Formation energy (no corrections): -2.568 eV per atom

Structure (CIF):
```
data_Be2TlZnF8
_chemical_formula_sum 'Be6 Tl3 Zn3 F24'
_cell_length_a 4.7893
_cell_length_b 4.7893
_cell_length_c 21.0415
_cell_angle_alpha 90.00
_cell_angle_beta 90.00
_cell_angle_gamma 120.00
_space_group_name_H-M_alt 'R -3'
_space_group_IT_number 148
_space_group_name_Hall '-R 3'
loop_
_atom_site_label
_atom_site_type_symbol
_atom_site_fract_x
_atom_site_fract_y
_atom_site_fract_z
Be1 Be 0.0000 0.0000 0.2469
Tl1 Tl 0.0000 0.0000 0.0000
Zn1 Zn 0.0000 0.0000 0.5000
F1 F 0.0000 0.0000 0.3220
F2 F 0.0031 0.3127 0.2259
```


Density functional theory data (PBE) for an optimized crystal structure of Sr2Li4Cu.

## Properties
Electronic total energy: -14.29 eV per formula unit
Formation enthalpy at 0 K: 0.1173 eV/atom

Structure (CIF):
```
data_Sr2Li4Cu
_chemical_formula_sum 'Sr4 Li8 Cu2'
_cell_length_a 4.933
_cell_length_b 4.933
_cell_length_c 17.164
_cell_angle_alpha 90.00
_cell_angle_beta 90.00
_cell_angle_gamma 90.00
_space_group_name_H-M_alt 'I 4/m m m'
_space_group_IT_number 139
_space_group_name_Hall '-I 4 2'
loop_
_atom_site_label
_atom_site_type_symbol
_atom_site_fract_x
_atom_site_fract_y
_atom_site_fract_z
Sr1 Sr 0.000 0.000 0.153
Li1 Li 0.000 0.000 0.359
Li2 Li 0.000 0.500 0.000
Cu1 Cu 0.000 0.000 0.500
```


Density functional theory data (PBE) for an optimized crystal structure of InOs2Se.

## Properties
E above lowest polymorph: 0.4449 eV/atom
Electronic total energy: -25.62 eV per formula unit
Formation energy (no corrections): 0.766 eV per atom

Structure (CIF):
```
data_InOs2Se
_chemical_formula_sum 'In1 Os2 Se1'
_cell_length_a 4.528
_cell_length_b 4.528
_cell_length_c 3.187
_cell_angle_alpha 90.00
_cell_angle_beta 90.00
_cell_angle_gamma 90.00
_space_group_name_H-M_alt 'P 4/m m m'
_space_group_IT_number 123
_space_group_name_Hall '-P 4 2'
loop_
_atom_site_label
_atom_site_type_symbol
_atom_site_fract_x
_atom_site_fract_y
_atom_site_fract_z
In1 In 0.000 0.000 0.000
Os1 Os 0.000 0.500 0.500
Se1 Se 0.500 0.500 0.000
```


Density functional theory data (PBE) for an optimized crystal structure of CaScCo3.

## Properties
E above lowest polymorph: 0.0000 eV/atom
Electronic total energy: -25.59 eV per formula unit
Formation enthalpy at 0 K: 0.8131 eV/atom

Structure (CIF):
```
data_CaScCo3
_chemical_formula_sum 'Ca1 Sc1 Co3'
_cell_length_a 4.562
_cell_length_b 4.562
_cell_length_c 4.562
_cell_angle_alpha 90.00
_cell_angle_beta 90.00
_cell_angle_gamma 90.00
_space_group_name_H-M_alt 'P m -3 m'
_space_group_IT_number 221
_space_group_name_Hall '-P 4 2 3'
loop_
_atom_site_label
_atom_site_type_symbol
_atom_site_fract_x
_atom_site_fract_y
_atom_site_fract_z
Ca1 Ca 0.000 0.000 0.000
Sc1 Sc 0.500 0.500 0.500
Co1 Co 0.000 0.500 0.500
```


Density functional theory data (PBE) for an optimized crystal structure of CuTcSnCl2.

## Properties
Electronic total energy: -19.33 eV per formula unit
Formation energy (no corrections): 0.566 eV per atom

Structure (CIF):
```
data_CuTcSnCl2
_chemical_formula_sum 'Cu1 Tc1 Sn1 Cl2'
_cell_length_a 4.475
_cell_length_b 4.475
_cell_length_c 5.971
_cell_angle_alpha 90.00
_cell_angle_beta 90.00
_cell_angle_gamma 90.00
_space_group_name_H-M_alt 'P 4/m m m'
_space_group_IT_number 123
_space_group_name_Hall '-P 4 2'
loop_
_atom_site_label
_atom_site_type_symbol
_atom_site_fract_x
_atom_site_fract_y
_atom_site_fract_z
Cu1 Cu 0.000 0.000 0.000
Tc1 Tc 0.500 0.500 0.500
Sn1 Sn 0.000 0.000 0.500
Cl1 Cl 0.000 0.500 0.000
```